Entry 1:
# LiCa3Mg | Alexandria | SCAN | single point on PBEsol structure
# Density: 1.4 Mg/m³
# Crystal system: cubic
# Total DFT energy (no corrections): -6.9532 eV per atom
# Total magnetization: 0.000 μB/cell
data_LiCa3Mg
_cell_length_a 5.700
_cell_length_b 5.700
_cell_length_c 5.700
_cell_angle_alpha 90.00
_cell_angle_beta 90.00
_cell_angle_gamma 90.00
_space_group_name_H-M_alt 'P m -3 m'
_space_group_IT_number 221
_space_group_name_Hall '-P 4 2 3'
loop_
_atom_site_label
_atom_site_fract_x
_atom_site_fract_y
_atom_site_fract_z
Li1 0.000 0.000 0.000
Ca1 0.000 0.000 0.500
Mg1 0.500 0.500 0.500

Entry 2:
# LiCaMg2 | Alexandria | SCAN | single point on PBEsol structure
# Density: 1.5 Mg/m³
# E above lowest polymorph: 0.0627 eV per atom
# Crystal system: orthorhombic
# Total DFT energy (no corrections): -5.4875 eV per atom
# Total magnetization: 0.090 μB/cell
data_LiCaMg2
_cell_length_a 4.499
_cell_length_b 4.726
_cell_length_c 4.916
_cell_angle_alpha 90.00
_cell_angle_beta 90.00
_cell_angle_gamma 90.00
_space_group_name_H-M_alt 'P m m m'
_space_group_IT_number 47
_space_group_name_Hall '-P 2 2'
loop_
_atom_site_label
_atom_site_fract_x
_atom_site_fract_y
_atom_site_fract_z
Li1 0.000 0.000 0.000
Ca1 0.500 0.500 0.000
Mg1 0.000 0.500 0.500
Mg2 0.500 0.000 0.500

Entry 3:
# LiCaMg2 | Alexandria | SCAN | single point on PBEsol structure
# Density: 1.6 Mg/m³
# E above lowest polymorph: 0.0249 eV per atom
# Crystal system: tetragonal
# Total DFT energy (no corrections): -5.5253 eV per atom
# Total magnetization: 0.065 μB/cell
data_LiCaMg2
_cell_length_a 3.663
_cell_length_b 3.663
_cell_length_c 7.574
_cell_angle_alpha 90.00
_cell_angle_beta 90.00
_cell_angle_gamma 90.00
_space_group_name_H-M_alt 'P 4 m m'
_space_group_IT_number 99
_space_group_name_Hall 'P 4 -2'
loop_
_atom_site_label
_atom_site_fract_x
_atom_site_fract_y
_atom_site_fract_z
Li1 0.000 0.000 0.000
Ca1 0.500 0.500 0.714
Mg1 0.000 0.000 0.425
Mg2 0.500 0.500 0.195

Entry 4:
# LiCa2Mg2 | Alexandria | SCAN | single point on PBEsol structure
# Density: 1.5 Mg/m³
# Crystal system: tetragonal
# Total DFT energy (no corrections): -6.3025 eV per atom
# Total magnetization: 0.000 μB/cell
data_LiCa2Mg2
_cell_length_a 7.719
_cell_length_b 7.719
_cell_length_c 5.092
_cell_angle_alpha 90.00
_cell_angle_beta 90.00
_cell_angle_gamma 90.00
_space_group_name_H-M_alt 'P 4/m b m'
_space_group_IT_number 127
_space_group_name_Hall '-P 4 2ab'
loop_
_atom_site_label
_atom_site_fract_x
_atom_site_fract_y
_atom_site_fract_z
Li1 0.000 0.000 0.000
Ca1 0.170 0.330 0.500
Mg1 0.136 0.636 0.000

Entry 5:
# Li2Ca2Mg | Alexandria | SCAN | single point on PBEsol structure
# Density: 1.4 Mg/m³
# E above lowest polymorph: 0.0000 eV per atom
# Crystal system: tetragonal
# Total DFT energy (no corrections): -5.7994 eV per atom
# Total magnetization: 0.343 μB/cell
data_Li2Ca2Mg
_cell_length_a 7.867
_cell_length_b 7.867
_cell_length_c 4.618
_cell_angle_alpha 90.00
_cell_angle_beta 90.00
_cell_angle_gamma 90.00
_space_group_name_H-M_alt 'P 4/m b m'
_space_group_IT_number 127
_space_group_name_Hall '-P 4 2ab'
loop_
_atom_site_label
_atom_site_fract_x
_atom_site_fract_y
_atom_site_fract_z
Li1 0.125 0.375 0.000
Ca1 0.180 0.680 0.500
Mg1 0.000 0.000 0.000

Entry 6:
# LiCaMg2 | Alexandria | SCAN | single point on PBEsol structure
# Density: 1.6 Mg/m³
# E above lowest polymorph: 0.0149 eV per atom
# Crystal system: cubic
# Total DFT energy (no corrections): -5.5353 eV per atom
# Total magnetization: 0.127 μB/cell
data_LiCaMg2
_cell_length_a 7.378
_cell_length_b 7.378
_cell_length_c 7.378
_cell_angle_alpha 90.00
_cell_angle_beta 90.00
_cell_angle_gamma 90.00
_space_group_name_H-M_alt 'F -4 3 m'
_space_group_IT_number 216
_space_group_name_Hall 'F -4 2 3'
loop_
_atom_site_label
_atom_site_fract_x
_atom_site_fract_y
_atom_site_fract_z
Li1 0.000 0.000 0.000
Ca1 0.250 0.250 0.250
Mg1 0.000 0.000 0.500
Mg2 0.250 0.250 0.750

Among the records above, which one has the highest total magnetization?
Li2Ca2Mg